No. 1
{
  "formula": "Tb3Ce2DyY6",
  "functional": "PBE",
  "state": "relaxed",
  "e_tot_ev_per_cell": -68.6,
  "magmom_total_mub_per_fu": 1.86,
  "delta_e_f_kj_per_mol_fu": 57,
  "lattice": [[3.083, -5.339, 0.000], [3.083, 5.339, 0.000], [-2.053, 0.000, 11.600]],
  "species": ["Tb", "Tb", "Tb", "Ce", "Ce", "Dy", "Y", "Y", "Y", "Y", "Y", "Y"],
  "fractional_positions": [[0.000, 0.000, 0.000], [0.334, 0.666, 0.000], [0.666, 0.334, 0.000], [0.167, 0.833, 0.500], [0.833, 0.167, 0.500], [0.500, 0.500, 0.500], [0.082, 0.417, 0.251], [0.248, 0.248, 0.749], [0.417, 0.082, 0.251], [0.583, 0.918, 0.749], [0.752, 0.752, 0.251], [0.918, 0.583, 0.749]]
}

No. 2
{
  "formula": "TbCeDy2Y5",
  "functional": "PBE",
  "state": "relaxed",
  "e_tot_ev_per_cell": -101.1,
  "magmom_total_mub_per_fu": 0.63,
  "delta_e_f_kj_per_mol_fu": 147,
  "lattice": [[2.861, -10.794, 0.000], [2.861, 10.794, 0.000], [0.000, 0.000, 9.576]],
  "species": ["Tb", "Tb", "Ce", "Ce", "Dy", "Dy", "Dy", "Dy", "Y", "Y", "Y", "Y", "Y", "Y", "Y", "Y", "Y", "Y"],
  "fractional_positions": [[0.097, 0.903, 0.500], [0.903, 0.097, 0.000], [0.311, 0.689, 0.906], [0.689, 0.311, 0.406], [0.367, 0.633, 0.218], [0.386, 0.614, 0.605], [0.614, 0.386, 0.105], [0.633, 0.367, 0.718], [0.028, 0.972, 0.179], [0.109, 0.891, 0.883], [0.194, 0.806, 0.215], [0.233, 0.767, 0.593], [0.487, 0.513, 0.914], [0.513, 0.487, 0.414], [0.767, 0.233, 0.093], [0.806, 0.194, 0.715], [0.891, 0.109, 0.383], [0.972, 0.028, 0.679]]
}

No. 3
{
  "formula": "Tb2CeDy5Y",
  "functional": "PBE",
  "state": "relaxed",
  "e_tot_ev_per_cell": -86.2,
  "magmom_total_mub_per_fu": 0.64,
  "delta_e_f_kj_per_mol_fu": 150,
  "lattice": [[2.847, -10.807, 0.000], [2.847, 10.807, 0.000], [0.000, 0.000, 9.517]],
  "species": ["Tb", "Tb", "Tb", "Tb", "Ce", "Ce", "Dy", "Dy", "Dy", "Dy", "Dy", "Dy", "Dy", "Dy", "Dy", "Dy", "Y", "Y"],
  "fractional_positions": [[0.114, 0.886, 0.500], [0.135, 0.865, 0.116], [0.865, 0.135, 0.616], [0.886, 0.114, 0.000], [0.192, 0.808, 0.802], [0.808, 0.192, 0.302], [0.013, 0.987, 0.809], [0.267, 0.733, 0.488], [0.307, 0.693, 0.106], [0.395, 0.605, 0.776], [0.471, 0.529, 0.074], [0.529, 0.471, 0.574], [0.605, 0.395, 0.276], [0.693, 0.307, 0.606], [0.733, 0.267, 0.988], [0.987, 0.013, 0.309], [0.403, 0.597, 0.393], [0.597, 0.403, 0.893]]
}